i:
## HfZrHg3 (PBE)

Data for HfZrHg3 after structural relaxation.

The structure in CIF format:
```
data_HfZrHg3
_symmetry_space_group_name_H-M 'P m -3 m'
_symmetry_Int_Tables_number 221
_symmetry_space_group_name_Hall '-P 4 2 3'
_cell_length_a 5.280
_cell_length_b 5.280
_cell_length_c 5.280
_cell_angle_alpha 90.00
_cell_angle_beta 90.00
_cell_angle_gamma 90.00
loop_
_atom_site_label
_atom_site_type_symbol
_atom_site_fract_x
_atom_site_fract_y
_atom_site_fract_z
Hf1 Hf 0.000 0.000 0.000
Zr1 Zr 0.500 0.500 0.500
Hg1 Hg 0.000 0.000 0.500
```

---

ii:
## HfZrHg3 (PBE)

Data for HfZrHg3 after structural relaxation.

The structure in CIF format:
```
data_HfZrHg3
_symmetry_space_group_name_H-M 'C 1 2/c 1'
_symmetry_Int_Tables_number 15
_symmetry_space_group_name_Hall '-C 2yc'
_cell_length_a 5.300
_cell_length_b 16.220
_cell_length_c 5.319
_cell_angle_alpha 90.00
_cell_angle_beta 101.03
_cell_angle_gamma 90.00
loop_
_atom_site_label
_atom_site_type_symbol
_atom_site_fract_x
_atom_site_fract_y
_atom_site_fract_z
Hf1 Hf 0.000 0.051 0.250
Zr1 Zr 0.000 0.449 0.250
Hg1 Hg 0.000 0.143 0.750
Hg2 Hg 0.000 0.249 0.250
Hg3 Hg 0.000 0.357 0.750
```

---

Most stable structure, least stable structure: ii, i.

---

i:
## Hf2ZrHg2 (PBE)

Data for Hf2ZrHg2 after structural relaxation.

The structure in CIF format:
```
data_Hf2ZrHg2
_symmetry_space_group_name_H-M 'P 4/m b m'
_symmetry_Int_Tables_number 127
_symmetry_space_group_name_Hall '-P 4 2ab'
_cell_length_a 8.521
_cell_length_b 8.521
_cell_length_c 3.066
_cell_angle_alpha 90.00
_cell_angle_beta 90.00
_cell_angle_gamma 90.00
loop_
_atom_site_label
_atom_site_type_symbol
_atom_site_fract_x
_atom_site_fract_y
_atom_site_fract_z
Hf1 Hf 0.124 0.376 0.000
Zr1 Zr 0.000 0.000 0.000
Hg1 Hg 0.173 0.673 0.500
```

---

ii:
## Hf2ZrHg2 (PBE)

Data for Hf2ZrHg2 after structural relaxation.

The structure in CIF format:
```
data_Hf2ZrHg2
_symmetry_space_group_name_H-M 'C m m m'
_symmetry_Int_Tables_number 65
_symmetry_space_group_name_Hall '-C 2 2'
_cell_length_a 4.503
_cell_length_b 15.399
_cell_length_c 3.165
_cell_angle_alpha 90.00
_cell_angle_beta 90.00
_cell_angle_gamma 90.00
loop_
_atom_site_label
_atom_site_type_symbol
_atom_site_fract_x
_atom_site_fract_y
_atom_site_fract_z
Hf1 Hf 0.000 0.185 0.000
Zr1 Zr 0.000 0.000 0.000
Hg1 Hg 0.000 0.393 0.500
```

---

Most stable structure, least stable structure: ii, i.

---

i:
## HfZr3Hg (PBE)

Data for HfZr3Hg after structural relaxation.

The structure in CIF format:
```
data_HfZr3Hg
_symmetry_space_group_name_H-M 'C 1 2/c 1'
_symmetry_Int_Tables_number 15
_symmetry_space_group_name_Hall '-C 2yc'
_cell_length_a 12.401
_cell_length_b 9.870
_cell_length_c 8.923
_cell_angle_alpha 90.00
_cell_angle_beta 123.93
_cell_angle_gamma 90.00
loop_
_atom_site_label
_atom_site_type_symbol
_atom_site_fract_x
_atom_site_fract_y
_atom_site_fract_z
Hf1 Hf 0.095 0.163 0.198
Zr1 Zr 0.117 0.339 0.617
Zr2 Zr 0.189 0.354 0.046
Zr3 Zr 0.208 0.065 0.571
Hg1 Hg 0.000 0.125 0.750
Hg2 Hg 0.000 0.447 0.250
```

---

ii:
## HfZr3Hg (PBE)

Data for HfZr3Hg after structural relaxation.

The structure in CIF format:
```
data_HfZr3Hg
_symmetry_space_group_name_H-M 'P m -3 m'
_symmetry_Int_Tables_number 221
_symmetry_space_group_name_Hall '-P 4 2 3'
_cell_length_a 5.233
_cell_length_b 5.233
_cell_length_c 5.233
_cell_angle_alpha 90.00
_cell_angle_beta 90.00
_cell_angle_gamma 90.00
loop_
_atom_site_label
_atom_site_type_symbol
_atom_site_fract_x
_atom_site_fract_y
_atom_site_fract_z
Hf1 Hf 0.000 0.000 0.000
Zr1 Zr 0.000 0.500 0.500
Hg1 Hg 0.500 0.500 0.500
```

---

Most stable structure, least stable structure: i, ii.

---

i:
## HfZr3Hg (PBE)

Data for HfZr3Hg after structural relaxation.

The structure in CIF format:
```
data_HfZr3Hg
_symmetry_space_group_name_H-M 'P 1 21/m 1'
_symmetry_Int_Tables_number 11
_symmetry_space_group_name_Hall '-P 2yb'
_cell_length_a 6.910
_cell_length_b 4.472
_cell_length_c 7.313
_cell_angle_alpha 90.00
_cell_angle_beta 91.81
_cell_angle_gamma 90.00
loop_
_atom_site_label
_atom_site_type_symbol
_atom_site_fract_x
_atom_site_fract_y
_atom_site_fract_z
Hf1 Hf 0.061 0.250 0.352
Zr1 Zr 0.157 0.750 0.050
Zr2 Zr 0.238 0.250 0.757
Zr3 Zr 0.345 0.750 0.475
Hg1 Hg 0.448 0.250 0.157
```

---

ii:
## HfZr3Hg (PBE)

Data for HfZr3Hg after structural relaxation.

The structure in CIF format:
```
data_HfZr3Hg
_symmetry_space_group_name_H-M 'P m -3 m'
_symmetry_Int_Tables_number 221
_symmetry_space_group_name_Hall '-P 4 2 3'
_cell_length_a 5.163
_cell_length_b 5.163
_cell_length_c 5.163
_cell_angle_alpha 90.00
_cell_angle_beta 90.00
_cell_angle_gamma 90.00
loop_
_atom_site_label
_atom_site_type_symbol
_atom_site_fract_x
_atom_site_fract_y
_atom_site_fract_z
Hf1 Hf 0.000 0.000 0.000
Zr1 Zr 0.000 0.000 0.500
Hg1 Hg 0.500 0.500 0.500
```

---

Most stable structure, least stable structure: i, ii.

---

i:
## HoHf3 (PBE)

Data for HoHf3 after structural relaxation.

The structure in CIF format:
```
data_HoHf3
_symmetry_space_group_name_H-M 'P m m 2'
_symmetry_Int_Tables_number 25
_symmetry_space_group_name_Hall 'P 2 -2'
_cell_length_a 3.265
_cell_length_b 5.143
_cell_length_c 5.726
_cell_angle_alpha 90.00
_cell_angle_beta 90.00
_cell_angle_gamma 90.00
loop_
_atom_site_label
_atom_site_type_symbol
_atom_site_fract_x
_atom_site_fract_y
_atom_site_fract_z
Ho1 Ho 0.000 0.000 0.000
Hf1 Hf 0.000 0.500 0.658
Hf2 Hf 0.500 0.000 0.501
Hf3 Hf 0.500 0.500 0.187
```

---

ii:
## HoHf3 (PBE)

Data for HoHf3 after structural relaxation.

The structure in CIF format:
```
data_HoHf3
_symmetry_space_group_name_H-M 'I 4/m m m'
_symmetry_Int_Tables_number 139
_symmetry_space_group_name_Hall '-I 4 2'
_cell_length_a 4.583
_cell_length_b 4.583
_cell_length_c 9.082
_cell_angle_alpha 90.00
_cell_angle_beta 90.00
_cell_angle_gamma 90.00
loop_
_atom_site_label
_atom_site_type_symbol
_atom_site_fract_x
_atom_site_fract_y
_atom_site_fract_z
Ho1 Ho 0.000 0.000 0.000
Hf1 Hf 0.000 0.000 0.500
Hf2 Hf 0.000 0.500 0.250
```

---

iii:
## HoHf3 (PBE)

Data for HoHf3 after structural relaxation.

The structure in CIF format:
```
data_HoHf3
_symmetry_space_group_name_H-M 'I m m 2'
_symmetry_Int_Tables_number 44
_symmetry_space_group_name_Hall 'I 2 -2'
_cell_length_a 3.263
_cell_length_b 10.323
_cell_length_c 5.697
_cell_angle_alpha 90.00
_cell_angle_beta 90.00
_cell_angle_gamma 90.00
loop_
_atom_site_label
_atom_site_type_symbol
_atom_site_fract_x
_atom_site_fract_y
_atom_site_fract_z
Ho1 Ho 0.000 0.000 0.000
Hf1 Hf 0.000 0.246 0.667
Hf2 Hf 0.000 0.500 0.996
```

---

Most stable structure, least stable structure: i, ii.

---

i:
## HoHf2In (PBE)

Data for HoHf2In after structural relaxation.

The structure in CIF format:
```
data_HoHf2In
_symmetry_space_group_name_H-M 'P 4/m m m'
_symmetry_Int_Tables_number 123
_symmetry_space_group_name_Hall '-P 4 2'
_cell_length_a 4.530
_cell_length_b 4.530
_cell_length_c 4.557
_cell_angle_alpha 90.00
_cell_angle_beta 90.00
_cell_angle_gamma 90.00
loop_
_atom_site_label
_atom_site_type_symbol
_atom_site_fract_x
_atom_site_fract_y
_atom_site_fract_z
Ho1 Ho 0.000 0.000 0.000
Hf1 Hf 0.000 0.500 0.500
In1 In 0.500 0.500 0.000
```

---

ii:
## HoHf2In (PBE)

Data for HoHf2In after structural relaxation.

The structure in CIF format:
```
data_HoHf2In
_symmetry_space_group_name_H-M 'R -3 m'
_symmetry_Int_Tables_number 166
_symmetry_space_group_name_Hall '-R 3 2"'
_cell_length_a 3.1403
_cell_length_b 3.1403
_cell_length_c 34.6758
_cell_angle_alpha 90.00
_cell_angle_beta 90.00
_cell_angle_gamma 120.00
loop_
_atom_site_label
_atom_site_type_symbol
_atom_site_fract_x
_atom_site_fract_y
_atom_site_fract_z
Ho1 Ho 0.0000 0.0000 0.0000
Hf1 Hf 0.0000 0.0000 0.0919
In1 In 0.0000 0.0000 0.5000
```

---

Most stable structure, least stable structure: i, ii.

---

i:
## Ho2HfIn (PBE)

Data for Ho2HfIn after structural relaxation.

The structure in CIF format:
```
data_Ho2HfIn
_symmetry_space_group_name_H-M 'P 4/m m m'
_symmetry_Int_Tables_number 123
_symmetry_space_group_name_Hall '-P 4 2'
_cell_length_a 3.376
_cell_length_b 3.376
_cell_length_c 9.205
_cell_angle_alpha 90.00
_cell_angle_beta 90.00
_cell_angle_gamma 90.00
loop_
_atom_site_label
_atom_site_type_symbol
_atom_site_fract_x
_atom_site_fract_y
_atom_site_fract_z
Ho1 Ho 0.000 0.000 0.249
Hf1 Hf 0.500 0.500 0.500
In1 In 0.500 0.500 0.000
```

---

ii:
## Ho2HfIn (PBE)

Data for Ho2HfIn after structural relaxation.

The structure in CIF format:
```
data_Ho2HfIn
_symmetry_space_group_name_H-M 'R -3 m'
_symmetry_Int_Tables_number 166
_symmetry_space_group_name_Hall '-R 3 2"'
_cell_length_a 3.4122
_cell_length_b 3.4122
_cell_length_c 31.8874
_cell_angle_alpha 90.00
_cell_angle_beta 90.00
_cell_angle_gamma 120.00
loop_
_atom_site_label
_atom_site_type_symbol
_atom_site_fract_x
_atom_site_fract_y
_atom_site_fract_z
Ho1 Ho 0.0000 0.0000 0.2489
Hf1 Hf 0.0000 0.0000 0.5000
In1 In 0.0000 0.0000 0.0000
```

---

Most stable structure, least stable structure: i, ii.

---

i:
## HoHfIrRu (PBE)

Data for HoHfIrRu after structural relaxation.

The structure in CIF format:
```
data_HoHfIrRu
_symmetry_space_group_name_H-M 'P 4 m m'
_symmetry_Int_Tables_number 99
_symmetry_space_group_name_Hall 'P 4 -2'
_cell_length_a 3.339
_cell_length_b 3.339
_cell_length_c 6.623
_cell_angle_alpha 90.00
_cell_angle_beta 90.00
_cell_angle_gamma 90.00
loop_
_atom_site_label
_atom_site_type_symbol
_atom_site_fract_x
_atom_site_fract_y
_atom_site_fract_z
Ho1 Ho 0.000 0.000 0.000
Hf1 Hf 0.000 0.000 0.498
Ir1 Ir 0.500 0.500 0.730
Ru1 Ru 0.500 0.500 0.268
```

---

ii:
## HoHfIrRu (PBE)

Data for HoHfIrRu after structural relaxation.

The structure in CIF format:
```
data_HoHfIrRu
_symmetry_space_group_name_H-M 'F -4 3 m'
_symmetry_Int_Tables_number 216
_symmetry_space_group_name_Hall 'F -4 2 3'
_cell_length_a 6.646
_cell_length_b 6.646
_cell_length_c 6.646
_cell_angle_alpha 90.00
_cell_angle_beta 90.00
_cell_angle_gamma 90.00
loop_
_atom_site_label
_atom_site_type_symbol
_atom_site_fract_x
_atom_site_fract_y
_atom_site_fract_z
Ho1 Ho 0.000 0.000 0.000
Hf1 Hf 0.000 0.000 0.500
Ir1 Ir 0.250 0.250 0.250
Ru1 Ru 0.250 0.250 0.750
```

---

Most stable structure, least stable structure: i, ii.